Computed, not measured: crystalline ErCrAgF6 at its relaxed geometry at the GGA+U level of DFT.

a b c (Å): 5.8257 5.8257 9.9698
angles (deg): 90.00 90.00 120.00
Space group P-31c (No. 163)
Unique sites:
Er 0.3333 0.6667 0.2500 x2
Cr 0.3333 0.6667 0.7500 x2
Ag 0.0000 0.0000 0.0000 x2
F 0.0051 0.3676 0.6397 x12

Computed properties:
- uncorrected energy (eV per atom) = -5.680
- total magnetic moment (μB/f.u.) = 4.00